# Y2TaSe, optimized geometry, DFT PBE
# M_tot: 0.00 μB/f.u.
# VASP energy: -7.054 eV per atom
# Space group: Immm
data_Y2TaSe
_chemical_formula_sum 'Y4 Ta2 Se2'
_cell_length_a 3.503
_cell_length_b 5.650
_cell_length_c 9.847
_cell_angle_alpha 90.00
_cell_angle_beta 90.00
_cell_angle_gamma 90.00
_symmetry_space_group_name_H-M 'P 1'
_symmetry_Int_Tables_number 1
loop_
_symmetry_equiv_pos_as_xyz
'x,y,z'
loop_
_atom_site_label
_atom_site_type_symbol
_atom_site_fract_x
_atom_site_fract_y
_atom_site_fract_z
Y1 Y 0.000 0.000 0.229
Y2 Y 0.000 0.000 0.771
Y3 Y 0.500 0.500 0.271
Y4 Y 0.500 0.500 0.729
Ta1 Ta 0.000 0.500 0.000
Ta2 Ta 0.500 0.000 0.500
Se1 Se 0.000 0.500 0.500
Se2 Se 0.500 0.000 0.000

# Y2TaSe, optimized geometry, DFT PBE
# M_tot: 0.00 μB/f.u.
# VASP energy: -7.346 eV per atom
# Space group: P4mm
data_Y2TaSe
_chemical_formula_sum 'Y2 Ta1 Se1'
_cell_length_a 3.398
_cell_length_b 3.398
_cell_length_c 8.385
_cell_angle_alpha 90.00
_cell_angle_beta 90.00
_cell_angle_gamma 90.00
_symmetry_space_group_name_H-M 'P 1'
_symmetry_Int_Tables_number 1
loop_
_symmetry_equiv_pos_as_xyz
'x,y,z'
loop_
_atom_site_label
_atom_site_type_symbol
_atom_site_fract_x
_atom_site_fract_y
_atom_site_fract_z
Y1 Y 0.000 0.000 0.000
Y2 Y 0.500 0.500 0.347
Ta1 Ta 0.500 0.500 0.739
Se1 Se 0.000 0.000 0.589

# YTaZn2Se, optimized geometry, DFT PBE
# M_tot: 1.63 μB/f.u.
# VASP energy: -4.105 eV per atom
# Space group: P4/mmm
data_YTaZn2Se
_chemical_formula_sum 'Y1 Ta1 Zn2 Se1'
_cell_length_a 4.776
_cell_length_b 4.776
_cell_length_c 5.255
_cell_angle_alpha 90.00
_cell_angle_beta 90.00
_cell_angle_gamma 90.00
_symmetry_space_group_name_H-M 'P 1'
_symmetry_Int_Tables_number 1
loop_
_symmetry_equiv_pos_as_xyz
'x,y,z'
loop_
_atom_site_label
_atom_site_type_symbol
_atom_site_fract_x
_atom_site_fract_y
_atom_site_fract_z
Y1 Y 0.000 0.000 0.000
Ta1 Ta 0.500 0.500 0.000
Zn1 Zn 0.000 0.500 0.500
Zn2 Zn 0.500 0.000 0.500
Se1 Se 0.000 0.000 0.500

# TaZnSe2, optimized geometry, DFT PBE
# M_tot: 0.00 μB/f.u.
# VASP energy: -5.172 eV per atom
# Space group: R3m
data_TaZnSe2
_chemical_formula_sum 'Ta3 Zn3 Se6'
_cell_length_a 3.406
_cell_length_b 3.406
_cell_length_c 25.720
_cell_angle_alpha 90.00
_cell_angle_beta 90.00
_cell_angle_gamma 120.00
_symmetry_space_group_name_H-M 'P 1'
_symmetry_Int_Tables_number 1
loop_
_symmetry_equiv_pos_as_xyz
'x,y,z'
loop_
_atom_site_label
_atom_site_type_symbol
_atom_site_fract_x
_atom_site_fract_y
_atom_site_fract_z
Ta1 Ta 0.000 0.000 0.000
Ta2 Ta 0.333 0.667 0.667
Ta3 Ta 0.667 0.333 0.333
Zn1 Zn 0.000 0.000 0.748
Zn2 Zn 0.333 0.667 0.414
Zn3 Zn 0.667 0.333 0.081
Se1 Se 0.000 0.000 0.269
Se2 Se 0.000 0.000 0.472
Se3 Se 0.333 0.667 0.139
Se4 Se 0.333 0.667 0.936
Se5 Se 0.667 0.333 0.602
Se6 Se 0.667 0.333 0.806

# TaZnSe2, optimized geometry, DFT PBE
# M_tot: 0.00 μB/f.u.
# VASP energy: -5.124 eV per atom
# Space group: C2/m
data_TaZnSe2
_chemical_formula_sum 'Ta2 Zn2 Se4'
_cell_length_a 8.771
_cell_length_b 3.366
_cell_length_c 5.287
_cell_angle_alpha 90.00
_cell_angle_beta 96.90
_cell_angle_gamma 90.00
_symmetry_space_group_name_H-M 'P 1'
_symmetry_Int_Tables_number 1
loop_
_symmetry_equiv_pos_as_xyz
'x,y,z'
loop_
_atom_site_label
_atom_site_type_symbol
_atom_site_fract_x
_atom_site_fract_y
_atom_site_fract_z
Ta1 Ta 0.000 0.000 0.000
Ta2 Ta 0.500 0.500 0.000
Zn1 Zn 0.000 0.500 0.500
Zn2 Zn 0.500 0.000 0.500
Se1 Se 0.205 0.500 0.219
Se2 Se 0.295 0.000 0.781
Se3 Se 0.705 0.000 0.219
Se4 Se 0.795 0.500 0.781

# TaZnSe4, optimized geometry, DFT PBE
# M_tot: 2.12 μB/f.u.
# VASP energy: -3.579 eV per atom
# Space group: F-43m
data_TaZnSe4
_chemical_formula_sum 'Ta1 Zn1 Se4'
_cell_length_a 5.602
_cell_length_b 5.602
_cell_length_c 5.602
_cell_angle_alpha 60.00
_cell_angle_beta 60.00
_cell_angle_gamma 60.00
_symmetry_space_group_name_H-M 'P 1'
_symmetry_Int_Tables_number 1
loop_
_symmetry_equiv_pos_as_xyz
'x,y,z'
loop_
_atom_site_label
_atom_site_type_symbol
_atom_site_fract_x
_atom_site_fract_y
_atom_site_fract_z
Ta1 Ta 0.000 0.000 0.000
Zn1 Zn 0.750 0.750 0.750
Se1 Se 0.374 0.374 0.374
Se2 Se 0.374 0.374 0.877
Se3 Se 0.374 0.877 0.374
Se4 Se 0.877 0.374 0.374

# TaZnSe2, optimized geometry, DFT PBE
# M_tot: 0.00 μB/f.u.
# VASP energy: -5.199 eV per atom
# Space group: Immm
data_TaZnSe2
_chemical_formula_sum 'Ta2 Zn2 Se4'
_cell_length_a 3.135
_cell_length_b 4.704
_cell_length_c 13.374
_cell_angle_alpha 90.00
_cell_angle_beta 90.00
_cell_angle_gamma 90.00
_symmetry_space_group_name_H-M 'P 1'
_symmetry_Int_Tables_number 1
loop_
_symmetry_equiv_pos_as_xyz
'x,y,z'
loop_
_atom_site_label
_atom_site_type_symbol
_atom_site_fract_x
_atom_site_fract_y
_atom_site_fract_z
Ta1 Ta 0.000 0.000 0.000
Ta2 Ta 0.500 0.500 0.500
Zn1 Zn 0.000 0.000 0.500
Zn2 Zn 0.500 0.500 0.000
Se1 Se 0.000 0.500 0.348
Se2 Se 0.000 0.500 0.652
Se3 Se 0.500 0.000 0.152
Se4 Se 0.500 0.000 0.848

# TaZnSe2, optimized geometry, DFT PBE
# M_tot: 0.00 μB/f.u.
# VASP energy: -5.226 eV per atom
# Space group: P4mm
data_TaZnSe2
_chemical_formula_sum 'Ta1 Zn1 Se2'
_cell_length_a 3.380
_cell_length_b 3.380
_cell_length_c 7.258
_cell_angle_alpha 90.00
_cell_angle_beta 90.00
_cell_angle_gamma 90.00
_symmetry_space_group_name_H-M 'P 1'
_symmetry_Int_Tables_number 1
loop_
_symmetry_equiv_pos_as_xyz
'x,y,z'
loop_
_atom_site_label
_atom_site_type_symbol
_atom_site_fract_x
_atom_site_fract_y
_atom_site_fract_z
Ta1 Ta 0.000 0.000 0.000
Zn1 Zn 0.500 0.500 0.237
Se1 Se 0.000 0.000 0.363
Se2 Se 0.500 0.500 0.814

# TaZnSe2, optimized geometry, DFT PBE
# M_tot: 0.00 μB/f.u.
# VASP energy: -5.431 eV per atom
# Space group: R-3m
data_TaZnSe2
_chemical_formula_sum 'Ta3 Zn3 Se6'
_cell_length_a 3.430
_cell_length_b 3.430
_cell_length_c 27.927
_cell_angle_alpha 90.00
_cell_angle_beta 90.00
_cell_angle_gamma 120.00
_symmetry_space_group_name_H-M 'P 1'
_symmetry_Int_Tables_number 1
loop_
_symmetry_equiv_pos_as_xyz
'x,y,z'
loop_
_atom_site_label
_atom_site_type_symbol
_atom_site_fract_x
_atom_site_fract_y
_atom_site_fract_z
Ta1 Ta 0.000 0.000 0.000
Ta2 Ta 0.333 0.667 0.667
Ta3 Ta 0.667 0.333 0.333
Zn1 Zn 0.000 0.000 0.500
Zn2 Zn 0.333 0.667 0.167
Zn3 Zn 0.667 0.333 0.833
Se1 Se 0.000 0.000 0.394
Se2 Se 0.000 0.000 0.606
Se3 Se 0.333 0.667 0.061
Se4 Se 0.333 0.667 0.273
Se5 Se 0.667 0.333 0.727
Se6 Se 0.667 0.333 0.939

# TaZnSe2, optimized geometry, DFT PBE
# M_tot: 0.00 μB/f.u.
# VASP energy: -5.010 eV per atom
# Space group: I-42d
data_TaZnSe2
_chemical_formula_sum 'Ta4 Zn4 Se8'
_cell_length_a 6.068
_cell_length_b 6.068
_cell_length_c 10.479
_cell_angle_alpha 90.00
_cell_angle_beta 90.00
_cell_angle_gamma 90.00
_symmetry_space_group_name_H-M 'P 1'
_symmetry_Int_Tables_number 1
loop_
_symmetry_equiv_pos_as_xyz
'x,y,z'
loop_
_atom_site_label
_atom_site_type_symbol
_atom_site_fract_x
_atom_site_fract_y
_atom_site_fract_z
Ta1 Ta 0.000 0.000 0.000
Ta2 Ta 0.000 0.500 0.250
Ta3 Ta 0.500 0.000 0.750
Ta4 Ta 0.500 0.500 0.500
Zn1 Zn 0.000 0.000 0.500
Zn2 Zn 0.000 0.500 0.750
Zn3 Zn 0.500 0.000 0.250
Zn4 Zn 0.500 0.500 0.000
Se1 Se 0.245 0.250 0.625
Se2 Se 0.250 0.745 0.875
Se3 Se 0.250 0.755 0.375
Se4 Se 0.255 0.250 0.125
Se5 Se 0.745 0.750 0.125
Se6 Se 0.750 0.245 0.375
Se7 Se 0.750 0.255 0.875
Se8 Se 0.755 0.750 0.625

# TaZnSe2, optimized geometry, DFT PBE
# M_tot: 0.00 μB/f.u.
# VASP energy: -5.298 eV per atom
# Space group: P2/m
data_TaZnSe2
_chemical_formula_sum 'Ta1 Zn1 Se2'
_cell_length_a 3.229
_cell_length_b 3.239
_cell_length_c 7.279
_cell_angle_alpha 90.00
_cell_angle_beta 92.42
_cell_angle_gamma 90.00
_symmetry_space_group_name_H-M 'P 1'
_symmetry_Int_Tables_number 1
loop_
_symmetry_equiv_pos_as_xyz
'x,y,z'
loop_
_atom_site_label
_atom_site_type_symbol
_atom_site_fract_x
_atom_site_fract_y
_atom_site_fract_z
Ta1 Ta 0.000 0.000 0.000
Zn1 Zn 0.000 0.000 0.500
Se1 Se 0.480 0.500 0.790
Se2 Se 0.520 0.500 0.210

# TaZnSe2, optimized geometry, DFT PBE
# M_tot: 0.00 μB/f.u.
# VASP energy: -5.214 eV per atom
# Space group: Amm2
data_TaZnSe2
_chemical_formula_sum 'Ta2 Zn2 Se4'
_cell_length_a 4.944
_cell_length_b 3.549
_cell_length_c 8.911
_cell_angle_alpha 90.00
_cell_angle_beta 90.00
_cell_angle_gamma 90.00
_symmetry_space_group_name_H-M 'P 1'
_symmetry_Int_Tables_number 1
loop_
_symmetry_equiv_pos_as_xyz
'x,y,z'
loop_
_atom_site_label
_atom_site_type_symbol
_atom_site_fract_x
_atom_site_fract_y
_atom_site_fract_z
Ta1 Ta 0.000 0.000 0.000
Ta2 Ta 0.000 0.500 0.500
Zn1 Zn 0.500 0.000 0.395
Zn2 Zn 0.500 0.500 0.895
Se1 Se 0.000 0.000 0.716
Se2 Se 0.000 0.500 0.216
Se3 Se 0.500 0.000 0.103
Se4 Se 0.500 0.500 0.603

# TaZnSe2, optimized geometry, DFT PBE
# M_tot: 0.00 μB/f.u.
# VASP energy: -4.791 eV per atom
# Space group: I-4m2
data_TaZnSe2
_chemical_formula_sum 'Ta2 Zn2 Se4'
_cell_length_a 3.748
_cell_length_b 3.748
_cell_length_c 10.495
_cell_angle_alpha 90.00
_cell_angle_beta 90.00
_cell_angle_gamma 90.00
_symmetry_space_group_name_H-M 'P 1'
_symmetry_Int_Tables_number 1
loop_
_symmetry_equiv_pos_as_xyz
'x,y,z'
loop_
_atom_site_label
_atom_site_type_symbol
_atom_site_fract_x
_atom_site_fract_y
_atom_site_fract_z
Ta1 Ta 0.000 0.000 0.000
Ta2 Ta 0.500 0.500 0.500
Zn1 Zn 0.000 0.500 0.750
Zn2 Zn 0.500 0.000 0.250
Se1 Se 0.000 0.000 0.500
Se2 Se 0.000 0.500 0.250
Se3 Se 0.500 0.000 0.750
Se4 Se 0.500 0.500 0.000

# TaZnSe2, optimized geometry, DFT PBE
# M_tot: 0.00 μB/f.u.
# VASP energy: -4.939 eV per atom
# Space group: Cmmm
data_TaZnSe2
_chemical_formula_sum 'Ta2 Zn2 Se4'
_cell_length_a 6.540
_cell_length_b 6.565
_cell_length_c 3.267
_cell_angle_alpha 90.00
_cell_angle_beta 90.00
_cell_angle_gamma 90.00
_symmetry_space_group_name_H-M 'P 1'
_symmetry_Int_Tables_number 1
loop_
_symmetry_equiv_pos_as_xyz
'x,y,z'
loop_
_atom_site_label
_atom_site_type_symbol
_atom_site_fract_x
_atom_site_fract_y
_atom_site_fract_z
Ta1 Ta 0.000 0.000 0.000
Ta2 Ta 0.500 0.500 0.000
Zn1 Zn 0.000 0.500 0.000
Zn2 Zn 0.500 0.000 0.000
Se1 Se 0.250 0.250 0.500
Se2 Se 0.250 0.750 0.500
Se3 Se 0.750 0.250 0.500
Se4 Se 0.750 0.750 0.500

# TaZnSe2, optimized geometry, DFT PBE
# M_tot: 0.32 μB/f.u.
# VASP energy: -5.239 eV per atom
# Space group: Cm
data_TaZnSe2
_chemical_formula_sum 'Ta2 Zn2 Se4'
_cell_length_a 9.475
_cell_length_b 3.435
_cell_length_c 4.685
_cell_angle_alpha 90.00
_cell_angle_beta 90.13
_cell_angle_gamma 90.00
_symmetry_space_group_name_H-M 'P 1'
_symmetry_Int_Tables_number 1
loop_
_symmetry_equiv_pos_as_xyz
'x,y,z'
loop_
_atom_site_label
_atom_site_type_symbol
_atom_site_fract_x
_atom_site_fract_y
_atom_site_fract_z
Ta1 Ta 0.000 0.000 0.000
Ta2 Ta 0.500 0.500 0.000
Zn1 Zn 0.171 0.000 0.469
Zn2 Zn 0.671 0.500 0.469
Se1 Se 0.209 0.500 0.915
Se2 Se 0.431 0.000 0.400
Se3 Se 0.709 0.000 0.915
Se4 Se 0.931 0.500 0.400